(1)
! YNbP2Ir (PBE-GGA, optimized geometry); values from VASP
&SYSTEM
  ibrav = 0, nat = 5, ntyp = 4
/
ATOMIC_SPECIES
Y 88.91 Y.upf
P 30.97 P.upf
Nb 92.91 Nb.upf
Ir 192.22 Ir.upf
CELL_PARAMETERS angstrom
-0.881 -4.729 -1.099
2.431 -1.417 4.149
-4.224 0.196 2.543
ATOMIC_POSITIONS crystal
Y 0.000 0.000 0.000
P 0.000 0.000 0.500
P 0.500 0.000 0.000
Nb 0.000 0.500 0.000
Ir 0.500 0.500 0.500
! formation enthalpy at 0 K = 1920.7 meV per atom
! ρ = 5.9 g/cm³

(2)
! Ho3Pu2PaP6 (PBE-GGA, optimized geometry); values from VASP
&SYSTEM
  ibrav = 0, nat = 12, ntyp = 4
/
ATOMIC_SPECIES
Ho 164.93 Ho.upf
Pu 244.00 Pu.upf
Pa 231.04 Pa.upf
P 30.97 P.upf
CELL_PARAMETERS angstrom
-3.532 2.478 -5.402
-3.031 -4.400 4.387
0.166 5.638 3.954
ATOMIC_POSITIONS crystal
Ho 0.168 0.832 0.500
Ho 0.832 0.168 0.500
Ho 0.500 0.500 0.500
Pu 0.334 0.666 0.000
Pu 0.666 0.334 0.000
Pa 0.000 0.000 0.000
P 0.918 0.587 0.753
P 0.752 0.752 0.247
P 0.082 0.413 0.247
P 0.587 0.918 0.753
P 0.248 0.248 0.753
P 0.413 0.082 0.247
! formation enthalpy at 0 K = -1422.8 meV per atom
! ρ = 8.6 g/cm³

(3)
! PaNi3 (PBE-GGA, optimized geometry); values from VASP
&SYSTEM
  ibrav = 0, nat = 8, ntyp = 2
/
ATOMIC_SPECIES
Pa 231.04 Pa.upf
Ni 58.69 Ni.upf
CELL_PARAMETERS angstrom
5.333 0.000 0.000
-2.666 4.618 0.000
0.000 0.000 4.736
ATOMIC_POSITIONS crystal
Pa 0.333 0.667 0.750
Pa 0.667 0.333 0.250
Ni 0.159 0.319 0.250
Ni 0.681 0.841 0.250
Ni 0.159 0.841 0.250
Ni 0.841 0.681 0.750
Ni 0.319 0.159 0.750
Ni 0.841 0.159 0.750
! formation enthalpy at 0 K = -419.1 meV per atom
! energy above the lowest structure with this stoichiometry = 8 meV per atom
! ρ = 11.6 g/cm³

(4)
! KCr2Ir (PBE-GGA, optimized geometry); values from VASP
&SYSTEM
  ibrav = 0, nat = 4, ntyp = 3
/
ATOMIC_SPECIES
Cr 52.00 Cr.upf
Ir 192.22 Ir.upf
K 39.10 K.upf
CELL_PARAMETERS angstrom
-0.779 -2.158 1.981
-0.215 -2.002 -2.265
8.668 -2.145 1.072
ATOMIC_POSITIONS crystal
Cr 0.000 0.000 0.079
Cr 0.000 0.000 0.421
Ir 0.500 0.500 0.250
K 0.500 0.500 0.750
! formation enthalpy at 0 K = 678.3 meV per atom
! energy above the lowest structure with this stoichiometry = 104 meV per atom
! ρ = 6.7 g/cm³

(5)
! Pr7DyEr4 (PBE-GGA, optimized geometry); values from VASP
&SYSTEM
  ibrav = 0, nat = 12, ntyp = 3
/
ATOMIC_SPECIES
Pr 140.91 Pr.upf
Dy 162.50 Dy.upf
Er 167.26 Er.upf
CELL_PARAMETERS angstrom
-6.087 -3.074 -2.647
0.235 -4.398 4.575
-10.859 0.611 4.065
ATOMIC_POSITIONS crystal
Pr 0.744 0.501 0.003
Pr 0.256 0.499 0.997
Pr 0.084 0.281 0.665
Pr 0.916 0.719 0.335
Pr 0.335 0.778 0.665
Pr 0.500 0.000 0.000
Pr 0.665 0.222 0.335
Dy 0.000 0.000 0.000
Er 0.413 0.723 0.333
Er 0.587 0.277 0.667
Er 0.836 0.781 0.663
Er 0.164 0.219 0.337
! formation enthalpy at 0 K = 7.4 meV per atom
! energy above the lowest structure with this stoichiometry = 0 meV per atom
! ρ = 7.4 g/cm³

(6)
! GaCu3F (PBE-GGA, optimized geometry); values from VASP
&SYSTEM
  ibrav = 0, nat = 5, ntyp = 3
/
ATOMIC_SPECIES
Cu 63.55 Cu.upf
Ga 69.72 Ga.upf
F 19.00 F.upf
CELL_PARAMETERS angstrom
-0.751 1.066 -4.339
-3.251 -3.148 -0.211
-3.064 3.079 1.286
ATOMIC_POSITIONS crystal
Cu 0.000 0.500 0.000
Cu 0.000 0.000 0.500
Cu 0.500 0.000 0.000
Ga 0.000 0.000 0.000
F 0.500 0.500 0.500
! energy above the lowest structure with this stoichiometry = 399 meV per atom
! formation energy (no corrections) = 2.34 eV/f.u.
! ρ = 5.0 g/cm³

no.,volume (Å³/cell),Fermi-level density of states (states/eV/cell)
1,122.06,4.7
2,268.70,21.6
3,116.64,4.8
4,82.63,3.2
5,407.49,15.5
6,93.00,5.3